{"formula": "FeSe", "functional": "PBE-GGA", "state": "relaxed", "crystal_system": "trigonal", "e_tot_ev_per_atom": -5.9518, "magmom_total_mub_per_cell": 14.0, "lattice": [[-2.462, -2.285, 1.211], [3.374, -1.081, -0.446], [4.355, 5.584, 19.397]], "species": ["Fe", "Fe", "Fe", "Fe", "Fe", "Fe", "Se", "Se", "Se", "Se", "Se", "Se"], "frac_coords": [[0.333, 0.667, 0.637], [0.000, 0.000, 0.699], [0.333, 0.667, 0.969], [0.667, 0.333, 0.363], [0.667, 0.333, 0.031], [0.000, 0.000, 0.301], [0.667, 0.333, 0.579], [0.333, 0.667, 0.242], [0.000, 0.000, 0.911], [0.667, 0.333, 0.758], [0.000, 0.000, 0.089], [0.333, 0.667, 0.421]]}